ZrTlSb2: optimized geometry, PBEsol.

It has space group Cmmm (No. 65), with a = 6.2820 Å, b = 8.2432 Å, c = 3.7412 Å, α = 90.00°, β = 90.00° and γ = 90.00°. Symmetry generates all atoms from Zr at (0.0000, 0.0000, 0.0000), Tl at (0.0000, 0.5000, 0.0000) and Sb at (0.2500, 0.2500, 0.5000).

The value obtained for the magnetic moment is 0.000 μB/cell. As for the raw formation energy: -0.138 eV/atom. Its energy above the lowest structure with this stoichiometry is 0.0 meV/atom. The value obtained for the uncorrected energy is -5.3465 eV per atom.

GaNi3Ir: optimized geometry, PBEsol.

It has space group Pm-3m (No. 221), with a = 4.1406 Å, b = 4.1406 Å, c = 4.1406 Å, α = 90.00°, β = 90.00° and γ = 90.00°. Symmetry generates all atoms from Ga at (0.0000, 0.0000, 0.0000), Ni at (0.0000, 0.0000, 0.5000) and Ir at (0.5000, 0.5000, 0.5000).

The value obtained for the magnetic moment is 0.010 μB/cell. The value obtained for the formation energy is 1115.6 meV/atom. The value obtained for the uncorrected energy is -5.2116 eV per atom.

Y3NiSe: optimized geometry, PBEsol.

It has space group Pm-3m (No. 221), with a = 5.1121 Å, b = 5.1121 Å, c = 5.1121 Å, α = 90.00°, β = 90.00° and γ = 90.00°. Symmetry generates all atoms from Y at (0.0000, 0.0000, 0.5000), Ni at (0.0000, 0.0000, 0.0000) and Se at (0.5000, 0.5000, 0.5000).

The value obtained for the magnetic moment is 0.000 μB/cell. As for the raw formation energy: -0.383 eV/atom. Its energy above the lowest structure with this stoichiometry is 0.0 meV/atom. The value obtained for the uncorrected energy is -6.4781 eV per atom.

Zn5Ru4: optimized geometry, PBEsol.

It has space group I4/mmm (No. 139), with a = 7.8013 Å, b = 7.8013 Å, c = 3.9175 Å, α = 90.00°, β = 90.00° and γ = 90.00°. Symmetry generates all atoms from Zn at (0.0000, 0.0000, 0.0000), Zn at (0.1677, 0.1677, 0.5000) and Ru at (0.0000, 0.3358, 0.0000).

The value obtained for the magnetic moment is 0.000 μB/cell. The value obtained for the formation energy is -2.0 meV/atom. The value obtained for the uncorrected energy is -5.4019 eV per atom.

Ba2TaPt: optimized geometry, PBEsol.

It has space group C2/m (No. 12), with a = 19.5069 Å, b = 3.5646 Å, c = 3.8936 Å, α = 90.00°, β = 101.31° and γ = 90.00°. Symmetry generates all atoms from Ba at (0.1481, 0.0000, 0.1450), Ta at (0.0000, 0.0000, 0.5000) and Pt at (0.0000, 0.5000, 0.0000).

The value obtained for the magnetic moment is 0.009 μB/cell. Its energy above the lowest structure with this stoichiometry is 0.0 meV/atom. The value obtained for the formation energy is 140.7 meV/atom. The value obtained for the uncorrected energy is -5.8124 eV per atom.

KLi2Hg2: optimized geometry, PBEsol.

It has space group I4/mmm (No. 139), with a = 4.4860 Å, b = 4.4860 Å, c = 12.7320 Å, α = 90.00°, β = 90.00° and γ = 90.00°. Symmetry generates all atoms from K at (0.0000, 0.0000, 0.0000), Li at (0.0000, 0.5000, 0.2500) and Hg at (0.0000, 0.0000, 0.3841).

The value obtained for the magnetic moment is 0.001 μB/cell. Its energy above the lowest structure with this stoichiometry is 33.3 meV/atom. The value obtained for the formation energy is -216.3 meV/atom. The value obtained for the uncorrected energy is -1.4564 eV per atom.

Co2TcSe: optimized geometry, PBEsol.

It has space group P4/mmm (No. 123), with a = 3.6189 Å, b = 3.6189 Å, c = 3.6827 Å, α = 90.00°, β = 90.00° and γ = 90.00°. Symmetry generates all atoms from Co at (0.0000, 0.5000, 0.0000), Tc at (0.0000, 0.0000, 0.5000) and Se at (0.5000, 0.5000, 0.5000).

The value obtained for the magnetic moment is 0.001 μB/cell. As for the raw formation energy: 0.319 eV/atom. The value obtained for the uncorrected energy is -7.3285 eV per atom.

CdTcAu2: optimized geometry, PBEsol.

It has space group Pmmm (No. 47), with a = 2.7691 Å, b = 4.9186 Å, c = 4.9581 Å, α = 90.00°, β = 90.00° and γ = 90.00°. Symmetry generates all atoms from Cd at (0.0000, 0.0000, 0.0000), Tc at (0.5000, 0.0000, 0.5000), Au at (0.0000, 0.5000, 0.5000) and Au at (0.5000, 0.5000, 0.0000).

The value obtained for the magnetic moment is 0.764 μB/cell. The value obtained for the formation energy is 376.0 meV/atom. The value obtained for the uncorrected energy is -4.7018 eV per atom.

MgSb2Cl: optimized geometry, PBEsol.

It has space group Cmm2 (No. 35), with a = 3.8909 Å, b = 5.4998 Å, c = 9.4875 Å, α = 90.00°, β = 90.00° and γ = 90.00°. Symmetry generates all atoms from Mg at (0.0000, 0.0000, 0.0000), Sb at (0.0000, 0.0000, 0.5142), Sb at (0.0000, 0.5000, 0.7627) and Cl at (0.0000, 0.5000, 0.1548).

The value obtained for the magnetic moment is 0.000 μB/cell. As for the raw formation energy: -0.419 eV/atom. Its energy above the lowest structure with this stoichiometry is 74.0 meV/atom. The value obtained for the uncorrected energy is -3.6291 eV per atom.

KCdOs2: optimized geometry, PBEsol.

It has space group Pmm2 (No. 25), with a = 2.7438 Å, b = 3.8101 Å, c = 8.2399 Å, α = 90.00°, β = 90.00° and γ = 90.00°. Symmetry generates all atoms from K at (0.0000, 0.0000, 0.0000), Cd at (0.5000, 0.5000, 0.6625), Os at (0.0000, 0.0000, 0.4315) and Os at (0.5000, 0.5000, 0.3140).

The value obtained for the magnetic moment is 0.000 μB/cell. The value obtained for the formation energy is 585.8 meV/atom. The value obtained for the uncorrected energy is -6.1047 eV per atom.

Ag2OsBr: optimized geometry, PBEsol.

It has space group P4/mmm (No. 123), with a = 3.9410 Å, b = 3.9410 Å, c = 4.3486 Å, α = 90.00°, β = 90.00° and γ = 90.00°. Symmetry generates all atoms from Ag at (0.0000, 0.5000, 0.0000), Os at (0.0000, 0.0000, 0.5000) and Br at (0.5000, 0.5000, 0.5000).

The value obtained for the magnetic moment is 0.017 μB/cell. As for the raw formation energy: 1.121 eV/atom. Its energy above the lowest structure with this stoichiometry is 416.0 meV/atom. The value obtained for the uncorrected energy is -4.0557 eV per atom.

Cd3GaCl: optimized geometry, PBEsol.

It has space group Pm-3m (No. 221), with a = 5.3272 Å, b = 5.3272 Å, c = 5.3272 Å, α = 90.00°, β = 90.00° and γ = 90.00°. Symmetry generates all atoms from Cd at (0.0000, 0.0000, 0.5000), Ga at (0.5000, 0.5000, 0.5000) and Cl at (0.0000, 0.0000, 0.0000).

The value obtained for the magnetic moment is 0.000 μB/cell. As for the raw formation energy: 0.515 eV/atom. The value obtained for the uncorrected energy is -1.2726 eV per atom.